A relaxed CoSnMo2S crystal. Source: Alexandria, functional PBE.

Formation energy without anion corrections in eV/atom: 1.07

```
5
Lattice="4.381 0.000 0.000 0.000 5.162 0.000 0.000 0.000 4.381" Properties=species:S:1:pos:R:3 pbc="T T T"
S 0.000 0.000 0.000
Mo 0.000 0.000 2.190
Mo 2.190 0.000 0.000
Co 2.190 2.581 2.190
Sn 0.000 2.581 0.000
```

***

A relaxed Co2SbMo crystal. Source: Alexandria, functional PBE.

Formation energy without anion corrections in eV/atom: 0.21

```
4
Lattice="3.985 0.385 0.000 -0.385 3.985 0.000 0.000 0.000 3.586" Properties=species:S:1:pos:R:3 pbc="T T T"
Co 0.000 0.000 0.000
Co 1.800 2.185 0.000
Mo 1.992 0.193 1.793
Sb -0.192 1.992 1.793
```

***

A relaxed Co4SbMo crystal. Source: Alexandria, functional PBE.

Formation energy without anion corrections in eV/atom: 0.20

```
6
Lattice="0.000 3.363 3.363 3.363 0.000 3.363 3.363 3.363 0.000" Properties=species:S:1:pos:R:3 pbc="T T T"
Co 2.527 4.199 4.199
Co 4.199 4.199 2.527
Co 4.199 2.527 4.199
Co 2.527 2.527 2.527
Sb 0.000 0.000 0.000
Mo 5.045 5.045 5.045
```

***

A relaxed Co2SbMo2 crystal. Source: Alexandria, functional PBE.

Formation energy without anion corrections in eV/atom: 0.38
Polymorph energy (0 for the lowest one) in eV/atom: 0.127

```
5
Lattice="3.919 0.000 0.000 0.000 3.919 0.000 1.959 1.959 5.182" Properties=species:S:1:pos:R:3 pbc="T T T"
Sb 0.000 0.000 0.000
Mo 3.919 1.959 2.591
Mo 1.959 3.919 2.591
Co 1.959 1.959 1.094
Co 3.919 3.919 4.088
```

***

A relaxed CoSbMo crystal. Source: Alexandria, functional PBE.

Formation energy without anion corrections in eV/atom: 0.63

```
18
Lattice="-5.139 -2.303 1.316 4.585 -1.046 3.367 -2.347 8.591 5.866" Properties=species:S:1:pos:R:3 pbc="T T T"
Mo -4.135 4.576 4.569
Mo -1.174 4.295 2.933
Mo -1.956 7.159 4.888
Mo -0.391 1.432 0.978
Mo -0.277 -1.674 2.341
Mo 1.510 2.340 3.639
Co 1.179 -0.280 4.113
Co -4.174 4.957 7.225
Co -2.525 2.482 5.048
Co -2.516 -0.205 2.525
Co -0.376 2.760 5.501
Co -0.293 6.011 7.235
Sb -0.946 0.772 4.012
Sb 0.842 4.787 5.309
Sb -1.956 4.469 6.537
Sb 2.179 -0.106 1.968
Sb -4.803 7.022 6.239
Sb -3.466 2.129 2.898
```

***

A relaxed Co2SbMo crystal. Source: Alexandria, functional PBE.

Formation energy without anion corrections in eV/atom: 0.21

```
4
Lattice="4.135 0.000 0.000 0.000 2.903 0.029 0.000 1.419 4.763" Properties=species:S:1:pos:R:3 pbc="T T T"
Co 0.000 1.966 4.577
Co 2.068 0.538 1.349
Mo 0.000 1.975 2.093
Sb 2.068 3.424 3.932
```

***

no.,DFT total energy (eV for the cell shown)
1,-31.54
2,-28.34
3,-42.19
4,-38.11
5,-121.02
6,-28.31